Crystalline Ga2Hg at its relaxed geometry, computed with GGA-PBE.

```
Ga2Hg
1.0
3.287 0.000 0.000
-1.644 2.847 0.000
0.000 0.000 13.792
Ga Hg
4 2
direct
0.333 0.667 0.080
0.333 0.667 0.420
0.667 0.333 0.580
0.667 0.333 0.920
0.333 0.667 0.750
0.667 0.333 0.250
```

Output
**E_form**: 0.088 eV per atom
**Crystal system**: hexagonal
**Space group**: P6_3/mmc (194)
**ΔE to the lowest computed polymorph**: 13 meV/atom